(a)
4
Lattice="1.868 1.079 9.697 -1.868 1.079 9.697 0.000 -2.157 9.697" Properties=species:S:1:pos:R:3 comment="PBE LaTm2Pd, relaxed" vol_a3_per_atom=29.31 spacegroup="No. 166" pbc="T T T"
La 0.000 0.000 0.000
Tm 0.000 0.000 6.651
Tm 0.000 0.000 22.439
Pd 0.000 0.000 14.545


(b)
4
Lattice="3.540 0.000 0.000 0.000 3.540 0.000 0.000 0.000 8.686" Properties=species:S:1:pos:R:3 comment="PBE LaTm2Pd, relaxed" vol_a3_per_atom=27.21 spacegroup="No. 123" pbc="T T T"
La 0.000 0.000 0.000
Tm 1.770 1.770 2.704
Tm 1.770 1.770 5.982
Pd 0.000 0.000 4.343


(c)
16
Lattice="7.130 0.000 0.000 0.000 9.715 0.000 0.000 0.000 6.531" Properties=species:S:1:pos:R:3 comment="PBE LaTm2Pd, relaxed" vol_a3_per_atom=28.27 spacegroup="No. 62" pbc="T T T"
La 0.112 2.429 0.888
La 3.453 7.286 4.154
La 3.676 2.429 2.377
La 7.018 7.286 5.643
Tm 1.259 0.599 4.381
Tm 1.259 4.259 4.381
Tm 2.306 5.456 1.115
Tm 2.306 9.116 1.115
Tm 4.824 0.599 5.416
Tm 4.824 4.259 5.416
Tm 5.871 5.456 2.150
Tm 5.871 9.116 2.150
Pd 0.822 7.286 2.739
Pd 2.743 2.429 6.005
Pd 4.387 7.286 0.527
Pd 6.308 2.429 3.792


The relative energies come out as (a) 0.153; (b) 0.019; (c) 0.000, with values in eV/atom.


(a)
6
Lattice="0.000 3.885 3.885 3.885 0.000 3.885 3.885 3.885 0.000" Properties=species:S:1:pos:R:3 comment="PBE LaTmPd4, relaxed" vol_a3_per_atom=19.54 spacegroup="No. 216" pbc="T T T"
La 0.000 0.000 0.000
Tm 1.942 1.942 1.942
Pd 4.851 2.918 2.918
Pd 2.918 4.851 2.918
Pd 2.918 2.918 4.851
Pd 4.851 4.851 4.851


(b)
12
Lattice="2.117 -9.962 0.000 2.117 9.962 0.000 0.000 0.000 5.765" Properties=species:S:1:pos:R:3 comment="PBE LaTmPd4, relaxed" vol_a3_per_atom=20.26 spacegroup="No. 63" pbc="T T T"
La 2.117 5.593 4.324
La 2.117 -5.593 1.441
Tm 2.117 8.497 1.441
Tm 2.117 -8.497 4.324
Pd 2.117 8.561 4.324
Pd 2.117 2.854 0.019
Pd 2.117 2.854 2.863
Pd 2.117 0.000 0.000
Pd 2.117 0.000 2.882
Pd 2.117 -2.854 2.902
Pd 2.117 -2.854 5.746
Pd 2.117 -8.561 1.441


The relative energies come out as (a) 0.068; (b) 0.000, with values in eV/atom.